## SrPa2O7 (PBE)

Data for an optimized crystal structure of SrPa2O7.

## Properties
The calculation puts the raw formation energy at -2.95 eV/atom. As for the energy above the most stable polymorph in this dataset: 77 meV/atom. The density of states at the Fermi level is 0.418 states/eV per atom.

Unit cell a=7.0783 b=10.6398 c=4.2409 alpha=90.00 beta=90.00 gamma=90.00
Last column: nearest neighbours and their distance in Å.
Space group Cmmm (No. 65)
Inequivalent atoms, fractional coordinates:
Sr 0.0000 0.0000 0.0000 x2  10 O 2.88-2.97
Pa 0.0000 0.2999 0.5000 x4  7 O 2.13-2.33
O 0.0000 0.2793 0.0000 x4  2 Pa 2.13
O 0.0000 0.5000 0.5000 x2  2 Pa 2.13
O 0.1857 0.1352 0.5000 x8  2 Pa 2.19-2.33

## Sr6PaO8 (PBE)

Data for an optimized crystal structure of Sr6PaO8.

## Properties
The calculation puts the raw formation energy at -2.90 eV/atom. The density of states at the Fermi level is 0.251 states/eV per atom.

Unit cell a=10.3763 b=10.3763 c=10.3763 alpha=90.00 beta=90.00 gamma=90.00
Last column: nearest neighbours and their distance in Å.
Space group Fm-3m (No. 225)
Inequivalent atoms, fractional coordinates:
Sr 0.0000 0.2500 0.2500 x24  6 O 2.59-2.62
Pa 0.0000 0.0000 0.0000 x4  6 O 2.26
O 0.0000 0.0000 0.2176 x24  1 Pa 2.26
O 0.2500 0.2500 0.2500 x8  6 Sr 2.59

## Sr3PaO6 (PBE)

Data for an optimized crystal structure of Sr3PaO6.

## Properties
The calculation puts the raw formation energy at -3.01 eV/atom. The density of states at the Fermi level is 0.613 states/eV per atom.

Unit cell a=10.2118 b=10.2118 c=12.1802 alpha=90.00 beta=90.00 gamma=120.00
Last column: nearest neighbours and their distance in Å.
Space group R-3 (No. 148, hexagonal axes)
Inequivalent atoms, fractional coordinates:
Sr 0.0361 0.7698 0.2129 x18  6 O 2.49-2.66
Pa 0.0000 0.0000 0.0000 x3  6 O 2.16
Pa 0.0000 0.0000 0.5000 x3  6 O 2.17
O 0.0253 0.8509 0.8871 x18  1 Pa 2.16
O 0.0292 0.8334 0.4095 x18  1 Pa 2.17

## SrPaO (PBE)

Data for an optimized crystal structure of SrPaO.

## Properties
The calculation puts the raw formation energy at -1.16 eV/atom. The density of states at the Fermi level is 1.239 states/eV per atom.

Unit cell a=13.2476 b=3.4161 c=5.9213 alpha=90.00 beta=90.00 gamma=90.00
Last column: nearest neighbours and their distance in Å.
Space group Amm2 (No. 38)
Inequivalent atoms, fractional coordinates:
Sr 0.1215 0.0000 0.0000 x4  3 O 2.55
Pa 0.3770 0.0000 0.6705 x4  3 O 2.56
O 0.0000 0.0000 0.6668 x2  6 Sr 2.55
O 0.5000 0.0000 0.0042 x2  6 Pa 2.56

## Sr2PaO6 (PBE)

Data for an optimized crystal structure of Sr2PaO6.

## Properties
The calculation puts the raw formation energy at -2.43 eV/atom. The density of states at the Fermi level is 0.815 states/eV per atom.

Unit cell a=5.4271 b=5.4271 c=11.1646 alpha=90.00 beta=90.00 gamma=90.00
Last column: nearest neighbours and their distance in Å.
Space group P4_2/mnm (No. 136)
Inequivalent atoms, fractional coordinates:
Sr 0.0000 0.0000 0.1658 x4  6 O 2.48-2.54
Pa 0.0000 0.0000 0.5000 x2  6 O 2.10
O 0.1780 0.1780 0.3577 x8  1 Pa 2.10
O 0.2260 0.2260 0.0000 x4  1 Pa 2.10

## SrPaO2 (PBE)

Data for an optimized crystal structure of SrPaO2.

## Properties
The calculation puts the raw formation energy at -2.48 eV/atom. The density of states at the Fermi level is 1.009 states/eV per atom.

Unit cell a=3.8326 b=3.8326 c=19.7684 alpha=90.00 beta=90.00 gamma=120.00
Last column: nearest neighbours and their distance in Å.
Space group R-3m (No. 166, hexagonal axes)
Inequivalent atoms, fractional coordinates:
Sr 0.0000 0.0000 0.0000 x3  2 O 2.54
Pa 0.0000 0.0000 0.5000 x3  6 O 2.34
O 0.0000 0.0000 0.1286 x6  3 Pa 2.34, 1 Sr 2.54

## Sr2Pa2O7 (PBE)

Data for an optimized crystal structure of Sr2Pa2O7.

## Properties
The calculation puts the raw formation energy at -3.42 eV/atom. As for the energy above the most stable polymorph in this dataset: 0 meV/atom.

Unit cell a=11.4256 b=11.4256 c=11.4256 alpha=90.00 beta=90.00 gamma=90.00
Last column: nearest neighbours and their distance in Å.
Space group Fd-3m (No. 227, origin choice 2)
Inequivalent atoms, fractional coordinates:
Sr 0.0000 0.0000 0.0000 x16  2 O 2.47
Pa 0.0000 0.0000 0.5000 x16  6 O 2.18
O 0.0722 0.3750 0.8750 x48  2 Pa 2.18
O 0.1250 0.1250 0.1250 x8  4 Sr 2.47

## SrPa3O8 (PBE)

Data for an optimized crystal structure of SrPa3O8.

## Properties
The calculation puts the raw formation energy at -3.31 eV/atom. The density of states at the Fermi level is 0.593 states/eV per atom.

Unit cell a=7.1212 b=7.1212 c=18.5851 alpha=90.00 beta=90.00 gamma=120.00
Last column: nearest neighbours and their distance in Å.
Space group R-3m (No. 166, hexagonal axes)
Inequivalent atoms, fractional coordinates:
Sr 0.0000 0.0000 0.0000 x3  6 O 2.58
Pa 0.0000 0.5000 0.5000 x9  6 O 2.20-2.30
O 0.0000 0.0000 0.2223 x6  3 Pa 2.30
O 0.0631 0.5316 0.7729 x18  2 Pa 2.20

## Sr5Pa3O12 (PBE)

Data for an optimized crystal structure of Sr5Pa3O12.

## Properties
The calculation puts the raw formation energy at -3.06 eV/atom. The density of states at the Fermi level is 0.133 states/eV per atom.

Unit cell a=14.5908 b=14.5908 c=14.5908 alpha=90.00 beta=90.00 gamma=90.00
Last column: nearest neighbours and their distance in Å.
Space group Ia-3d (No. 230)
Inequivalent atoms, fractional coordinates:
Sr 0.0000 0.0000 0.0000 x16  6 O 2.50
Sr 0.0000 0.2500 0.3750 x24  4 O 2.58
Pa 0.0000 0.2500 0.1250 x24  4 O 2.06
O 0.0225 0.0451 0.3361 x96  1 Pa 2.06

## Sr2Pa2O7 (PBE)

Data for an optimized crystal structure of Sr2Pa2O7.

## Properties
The calculation puts the raw formation energy at -3.38 eV/atom. As for the energy above the most stable polymorph in this dataset: 39 meV/atom. The density of states at the Fermi level is 0.000 states/eV per atom.

Unit cell a=7.3594 b=8.2117 c=5.7289 alpha=90.00 beta=90.00 gamma=90.00
Last column: nearest neighbours and their distance in Å.
Space group Cmmm (No. 65)
Inequivalent atoms, fractional coordinates:
Sr 0.2458 0.0000 0.0000 x4  6 O 2.40-2.57
Pa 0.0000 0.2260 0.5000 x4  7 O 2.25-2.27
O 0.0000 0.0000 0.2764 x4  2 Pa 2.25, 2 Sr 2.40
O 0.0000 0.5000 0.5000 x2  2 Pa 2.25
O 0.2500 0.2500 0.2697 x8  2 Pa 2.27

## Sr3Pa4O12 (PBE)

Data for an optimized crystal structure of Sr3Pa4O12.

## Properties
The calculation puts the raw formation energy at -3.38 eV/atom. The density of states at the Fermi level is 0.693 states/eV per atom.

Unit cell a=8.6915 b=8.6915 c=8.6915 alpha=90.00 beta=90.00 gamma=90.00
Last column: nearest neighbours and their distance in Å.
Space group Im-3 (No. 204)
Inequivalent atoms, fractional coordinates:
Sr 0.0000 0.0000 0.5000 x6  4 O 2.56
Pa 0.2500 0.2500 0.2500 x8  6 O 2.24
O 0.0000 0.2170 0.3011 x24  2 Pa 2.24

## SrPa2O7 (PBE)

Data for an optimized crystal structure of SrPa2O7.

## Properties
The calculation puts the raw formation energy at -3.03 eV/atom. As for the energy above the most stable polymorph in this dataset: 0 meV/atom. The density of states at the Fermi level is 0.000 states/eV per atom.

Unit cell a=6.7619 b=3.9386 c=10.6686 alpha=90.00 beta=91.53 gamma=90.00
Last column: nearest neighbours and their distance in Å.
Space group C2/m (No. 12)
Inequivalent atoms, fractional coordinates:
Sr 0.0000 0.0000 0.0000 x2  8 O 2.54-2.74
Pa 0.1511 0.5000 0.6992 x4  1 O 2.04
O 0.0000 0.5000 0.5000 x2  2 O 1.88
O 0.0099 0.0000 0.2569 x4  3 Pa 2.30-2.33, 1 O 2.53
O 0.1613 0.5000 0.8905 x4  1 Pa 2.04
O 0.1908 0.5000 0.3751 x4  1 O 1.88